# PaCuNiO4, optimized geometry, DFT PBE+U
# **Spin magnetization**: 2.02 μB per formula unit
# **Total energy**: -6.977 eV per atom
data_PaCuNiO4
_chemical_formula_sum 'Pa4 Cu4 Ni4 O16'
_cell_length_a 5.877
_cell_length_b 5.895
_cell_length_c 10.187
_cell_angle_alpha 90.00
_cell_angle_beta 90.00
_cell_angle_gamma 90.00
_space_group_name_H-M_alt 'I m m a'
_space_group_IT_number 74
_space_group_name_Hall '-I 2b 2'
loop_
_atom_site_label
_atom_site_type_symbol
_atom_site_fract_x
_atom_site_fract_y
_atom_site_fract_z
_atom_site_occupancy
Pa1 Pa 0.000 0.250 0.113 1
Cu1 Cu 0.000 0.000 0.500 1
Ni1 Ni 0.250 0.250 0.750 1
O1 O 0.000 0.003 0.744 1
O2 O 0.246 0.250 0.962 1